## FeAgAsBr2 (PBE-GGA)

Data for crystalline FeAgAsBr2 at its relaxed geometry.

abc: 5.233 5.233 4.479
angles: 90.00 90.00 90.00
Space group P4/mmm (No. 123)
Inequivalent atoms, fractional coordinates:
1 Fe 0.000 0.000 0.000 x1
2 Ag 0.500 0.500 0.500 x1
3 As 0.000 0.000 0.500 x1
4 Br 0.000 0.500 0.000 x2

Computed properties:
E_tot   -3.554 eV/atom
ΔE to the lowest computed polymorph   0.0 meV/atom
Formation energy without anion corrections   1.5 eV per formula unit